Computed, not measured: a relaxed structure of Sm2Al5Ir at the PBE level of DFT.

The structure belongs to space group I4mm (No. 107); the cell edges are 6.1977, 6.1977 and 8.9216 Å and the angles 90.00°, 90.00° and 90.00°. The inequivalent atoms are Sm at (0.0000, 0.5000, 0.0000), Al at (0.0000, 0.0000, 0.0173), Al at (0.2188, 0.2188, 0.2458) and Ir at (0.0000, 0.0000, 0.7462).

As for the total magnetization: 0.0 μB/f.u. Its crystal system is tetragonal. As for the total energy: -5.062 eV per atom. The value obtained for the formation energy is -0.435 eV per atom. The calculation puts the density at 6.084 Mg/m³.